Cu2AgHgF8 | PBE-GGA | optimized geometry

Lattice parameters (Å, degrees): 5.475 5.475 6.856 113.53 113.53 90.00
Last column: magnetic moment on the atom in μB.
Positions (direct):
Cu1 0.500 0.500 0.000  0.76
Cu2 0.250 0.750 0.500  0.79
Ag1 0.750 0.250 0.500  0.46
Hg1 0.000 0.000 0.000  0.03
F1 0.719 0.837 0.109  0.09
F2 0.390 0.272 0.109  0.09
F3 0.583 0.632 0.607  0.15
F4 0.024 0.975 0.607  0.15
F5 0.025 0.417 0.393  0.15
F6 0.368 0.976 0.393  0.15
F7 0.163 0.610 0.891  0.09
F8 0.728 0.281 0.891  0.09

Output
As for the raw formation energy: -1333 meV/atom. As for the volume: 170 Å³ per cell. As for the density: 5.8 g cm⁻³. As for the space group: No. 82. The value obtained for the total energy is -3.526 eV per atom.